# PBE with a Hubbard U Li2Mn3SbO8, relaxed
data_Li2Mn3SbO8
_space_group_name_H-M_alt 'P -1'
_space_group_IT_number 2
_space_group_name_Hall '-P 1'
_cell_length_a 6.0472
_cell_length_b 6.0728
_cell_length_c 6.0987
_cell_angle_alpha 117.65
_cell_angle_beta 119.65
_cell_angle_gamma 90.06
loop_
_atom_site_label
_atom_site_fract_x
_atom_site_fract_y
_atom_site_fract_z
Li1 0.0000 0.0000 0.0000
Li2 0.5000 0.0000 0.0000
Mn1 0.0000 0.0000 0.5000
Mn2 0.0000 0.5000 0.0000
Mn3 0.5000 0.5000 0.0000
Sb1 0.5000 0.0000 0.5000
O1 0.1945 0.2425 0.9317
O2 0.2416 0.2109 0.4918
O3 0.2567 0.7564 0.0523
O4 0.2662 0.8065 0.5422
# DFT total energy: -92.7 eV per cell
# calculated density: 4.33 g/cm³